Density functional theory data (PBE) for BiHBr after structural relaxation.

For the uncorrected energy, the calculation gives -0.1134 hartree per atom.

The structure in extended XYZ format:
```
6
Lattice="4.435 0.000 0.000 1.951 5.311 0.000 0.517 2.261 7.346" Properties=species:S:1:pos:R:3 pbc="T T T"
Bi 1.078 2.549 1.542
Bi 5.825 5.023 5.804
H 2.775 1.868 1.257
H 4.128 5.704 6.090
Br 2.570 4.954 2.026
Br 4.334 2.619 5.320
```